1.
Compound: Cd2SnSeO6
Source: the Alexandria database
Functional: PBE
Structure: relaxed

Summary:
V ... 15.04 A^3/atom
E_form (uncorrected) ... -864 meV per atom
Crystal system ... tetragonal
Symmetry ... P4mm, No. 99

The structure in extended XYZ format:
```
10
Lattice="5.698 0.000 0.000 0.000 5.698 0.000 0.000 0.000 4.631" Properties=species:S:1:pos:R:3 pbc="T T T"
Cd 0.000 2.849 0.000
Cd 2.849 0.000 0.000
Sn 0.000 0.000 2.882
Se 2.849 2.849 2.996
O 0.000 0.000 0.907
O 1.417 1.417 3.466
O 1.417 4.281 3.466
O 2.849 2.849 1.315
O 4.281 1.417 3.466
O 4.281 4.281 3.466
```

=====

2.
Compound: CdSnSeO5
Source: the Alexandria database
Functional: PBE
Structure: relaxed

Summary:
V ... 14.49 A^3/atom
E_form (uncorrected) ... -1038 meV per atom
Crystal system ... monoclinic
Symmetry ... C2/c, No. 15

The structure in extended XYZ format:
```
16
Lattice="3.885 -4.249 0.000 3.885 4.249 0.000 -3.615 0.000 7.022" Properties=species:S:1:pos:R:3 pbc="T T T"
Cd 1.174 3.757 5.266
Cd 2.981 -3.757 1.755
Sn 1.942 2.124 0.000
Sn 0.135 -2.124 3.511
Se 1.174 0.466 5.266
Se 2.981 -0.466 1.755
O 1.562 0.116 0.345
O 2.981 2.430 1.755
O -0.245 -0.116 3.856
O 0.270 1.699 6.109
O 2.077 1.699 4.423
O 2.078 -1.699 2.599
O 3.884 -1.699 0.912
O 4.400 0.116 3.166
O 1.174 -2.430 5.266
O 2.592 -0.116 6.676
```

=====

3.
Compound: Sr2CdSeO6
Source: the Alexandria database
Functional: PBE
Structure: relaxed

Summary:
V ... 13.30 A^3/atom
E_form (uncorrected) ... -1671 meV per atom
Crystal system ... cubic
Symmetry ... Fm-3m, No. 225

The structure in extended XYZ format:
```
10
Lattice="0.000 4.051 4.051 4.051 0.000 4.051 4.051 4.051 0.000" Properties=species:S:1:pos:R:3 pbc="T T T"
Sr 2.026 2.026 2.026
Sr 6.077 6.077 6.077
Cd 0.000 0.000 0.000
Se 4.051 4.051 4.051
O 4.051 4.051 2.224
O 4.051 2.224 4.051
O 5.878 4.051 4.051
O 2.224 4.051 4.051
O 4.051 5.878 4.051
O 4.051 4.051 5.878
```

=====

4.
Compound: TaCdSeO6
Source: the Alexandria database
Functional: PBE
Structure: relaxed

Summary:
V ... 12.95 A^3/atom
E_form (uncorrected) ... -1476 meV per atom
Crystal system ... trigonal
Symmetry ... P-31c, No. 163

The structure in extended XYZ format:
```
18
Lattice="5.241 0.000 0.000 -2.620 4.539 0.000 0.000 0.000 9.797" Properties=species:S:1:pos:R:3 pbc="T T T"
Ta 0.000 3.026 2.449
Ta 2.620 1.513 7.348
Cd 0.000 0.000 0.000
Cd 0.000 0.000 4.899
Se 0.000 3.026 7.348
Se 2.620 1.513 2.449
O -0.938 1.714 6.267
O -1.605 2.869 8.428
O 0.938 1.714 8.428
O -0.667 4.494 6.267
O 1.954 0.045 1.369
O 1.015 1.670 3.530
O 1.605 2.869 6.267
O 0.667 4.494 8.428
O 3.287 0.045 3.530
O 1.682 2.825 1.369
O 4.226 1.670 1.369
O 3.559 2.825 3.530
```